--- i ---
Below is an optimized crystal structure of NbSI2O, with properties calculated at the PBE-GGA level.

a b c (Å): 5.5741 5.5741 3.5761
angles (deg): 90.00 90.00 90.00
Closest atoms and distances in Å follow each position.
Space group P4/mmm (No. 123)
One atom of each set of equivalent atoms:
Nb 0.0000 0.0000 0.0000  8 I 3.31, 2 Nb 3.58
S 0.5000 0.5000 0.5000  2 O 1.79
I 0.0000 0.5000 0.5000  2 S 2.79
O 0.5000 0.5000 0.0000  2 S 1.79

Summary:
Crystal system = tetragonal

***

--- ii ---
Below is an optimized crystal structure of NbSI2O, with properties calculated at the PBE-GGA level.

a b c (Å): 5.6340 5.6340 3.9012
angles (deg): 90.00 90.00 90.00
Closest atoms and distances in Å follow each position.
Space group P4/mmm (No. 123)
One atom of each set of equivalent atoms:
Nb 0.0000 0.0000 0.0000  2 O 1.95
S 0.5000 0.5000 0.5000  8 I 3.43
I 0.0000 0.5000 0.0000  2 Nb 2.82
O 0.0000 0.0000 0.5000  2 Nb 1.95

Summary:
Crystal system = tetragonal

***

Of them, i has the lowest stability.

***

--- i ---
Below is an optimized crystal structure of NbSbIO2, with properties calculated at the PBE-GGA level.

a b c (Å): 4.0915 4.0915 6.3626
angles (deg): 90.00 90.00 90.00
Closest atoms and distances in Å follow each position.
Space group P4/mmm (No. 123)
One atom of each set of equivalent atoms:
Nb 0.0000 0.0000 0.0000  4 O 2.05
Sb 0.5000 0.5000 0.5000  4 I 2.89
I 0.0000 0.0000 0.5000  4 Sb 2.89, 2 Nb 3.18
O 0.0000 0.5000 0.0000  2 Nb 2.05

Summary:
Crystal system = tetragonal

***

--- ii ---
Below is an optimized crystal structure of NbSbIO2, with properties calculated at the PBE-GGA level.

a b c (Å): 4.0783 4.0783 6.9433
angles (deg): 90.00 90.00 90.00
Closest atoms and distances in Å follow each position.
Space group P4/mmm (No. 123)
One atom of each set of equivalent atoms:
Nb 0.0000 0.0000 0.0000  4 I 2.88
Sb 0.5000 0.5000 0.5000  4 O 2.04
I 0.5000 0.5000 0.0000  4 Nb 2.88
O 0.0000 0.5000 0.5000  2 Sb 2.04

Summary:
Crystal system = tetragonal

***

Of them, ii has the lowest stability.

***

--- i ---
Below is an optimized crystal structure of NbSiI2O, with properties calculated at the PBE-GGA level.

a b c (Å): 5.6263 5.6263 3.4885
angles (deg): 90.00 90.00 90.00
Closest atoms and distances in Å follow each position.
Space group P4/mmm (No. 123)
One atom of each set of equivalent atoms:
Nb 0.0000 0.0000 0.0000  8 I 3.31, 2 Nb 3.49
Si 0.5000 0.5000 0.5000  2 O 1.74
I 0.0000 0.5000 0.5000  2 Si 2.81
O 0.5000 0.5000 0.0000  2 Si 1.74

Summary:
Crystal system = tetragonal

***

--- ii ---
Below is an optimized crystal structure of NbSiI2O, with properties calculated at the PBE-GGA level.

a b c (Å): 5.7801 5.7801 3.9055
angles (deg): 90.00 90.00 90.00
Closest atoms and distances in Å follow each position.
Space group P4/mmm (No. 123)
One atom of each set of equivalent atoms:
Nb 0.0000 0.0000 0.0000  2 O 1.95
Si 0.5000 0.5000 0.5000  8 I 3.49, 2 Si 3.91
I 0.0000 0.5000 0.0000  2 Nb 2.89
O 0.0000 0.0000 0.5000  2 Nb 1.95

Summary:
Crystal system = tetragonal

***

Of them, i has the lowest stability.

***

--- i ---
Below is an optimized crystal structure of NbSnIO2, with properties calculated at the PBE-GGA level.

a b c (Å): 4.1653 4.1653 5.9788
angles (deg): 90.00 90.00 90.00
Closest atoms and distances in Å follow each position.
Space group P4/mmm (No. 123)
One atom of each set of equivalent atoms:
Nb 0.0000 0.0000 0.0000  4 O 2.08
Sn 0.5000 0.5000 0.5000  4 I 2.95
I 0.0000 0.0000 0.5000  4 Sn 2.95, 2 Nb 2.99
O 0.0000 0.5000 0.0000  2 Nb 2.08

Summary:
Crystal system = tetragonal

***

--- ii ---
Below is an optimized crystal structure of NbSnIO2, with properties calculated at the PBE-GGA level.

a b c (Å): 4.0993 4.0993 6.3120
angles (deg): 90.00 90.00 90.00
Closest atoms and distances in Å follow each position.
Space group P4/mmm (No. 123)
One atom of each set of equivalent atoms:
Nb 0.0000 0.0000 0.0000  4 I 2.90
Sn 0.5000 0.5000 0.5000  4 O 2.05
I 0.5000 0.5000 0.0000  4 Nb 2.90, 2 Sn 3.16
O 0.0000 0.5000 0.5000  2 Sn 2.05

Summary:
Crystal system = tetragonal

***

Of them, ii has the lowest stability.

***

--- i ---
Below is an optimized crystal structure of SrNbI2O, with properties calculated at the PBE-GGA level.

a b c (Å): 6.2866 6.2866 4.2516
angles (deg): 90.00 90.00 90.00
Closest atoms and distances in Å follow each position.
Space group P4/mmm (No. 123)
One atom of each set of equivalent atoms:
Sr 0.0000 0.0000 0.0000  2 O 2.13
Nb 0.5000 0.5000 0.5000  8 I 3.79
I 0.0000 0.5000 0.0000  2 Sr 3.14
O 0.0000 0.0000 0.5000  2 Sr 2.13

Summary:
Crystal system = tetragonal

***

--- ii ---
Below is an optimized crystal structure of SrNbI2O, with properties calculated at the PBE-GGA level.

a b c (Å): 5.2873 5.2873 6.6977
angles (deg): 90.00 90.00 90.00
Closest atoms and distances in Å follow each position.
Space group P4/mmm (No. 123)
One atom of each set of equivalent atoms:
Sr 0.0000 0.0000 0.0000  2 Nb 3.35, 4 O 3.74
Nb 0.0000 0.0000 0.5000  4 I 2.64
I 0.0000 0.5000 0.5000  2 Nb 2.64
O 0.5000 0.5000 0.0000  4 Sr 3.74

Summary:
Crystal system = tetragonal

***

--- iii ---
Below is an optimized crystal structure of SrNbI2O, with properties calculated at the PBE-GGA level.

a b c (Å): 5.9486 5.9486 3.9929
angles (deg): 90.00 90.00 90.00
Closest atoms and distances in Å follow each position.
Space group P4/mmm (No. 123)
One atom of each set of equivalent atoms:
Sr 0.0000 0.0000 0.0000  8 I 3.58, 2 Sr 3.99
Nb 0.5000 0.5000 0.5000  2 O 2.00
I 0.0000 0.5000 0.5000  2 Nb 2.97
O 0.5000 0.5000 0.0000  2 Nb 2.00

Summary:
Crystal system = tetragonal

***

Of them, ii has the lowest stability.

***

--- i ---
Below is an optimized crystal structure of TaNbIO2, with properties calculated at the PBE-GGA level.

a b c (Å): 3.9744 3.9744 6.2814
angles (deg): 90.00 90.00 90.00
Closest atoms and distances in Å follow each position.
Space group P4/mmm (No. 123)
One atom of each set of equivalent atoms:
Ta 0.0000 0.0000 0.0000  4 O 1.99
Nb 0.5000 0.5000 0.5000  4 I 2.81
I 0.0000 0.0000 0.5000  4 Nb 2.81, 2 Ta 3.14
O 0.0000 0.5000 0.0000  2 Ta 1.99

Summary:
Crystal system = tetragonal

***

--- ii ---
Below is an optimized crystal structure of TaNbIO2, with properties calculated at the PBE-GGA level.

a b c (Å): 3.9948 3.9948 6.2593
angles (deg): 90.00 90.00 90.00
Closest atoms and distances in Å follow each position.
Space group P4/mmm (No. 123)
One atom of each set of equivalent atoms:
Ta 0.0000 0.0000 0.0000  4 I 2.82
Nb 0.5000 0.5000 0.5000  4 O 2.00
I 0.5000 0.5000 0.0000  4 Ta 2.82, 2 Nb 3.13
O 0.0000 0.5000 0.5000  2 Nb 2.00

Summary:
Crystal system = tetragonal

***

Of them, ii has the lowest stability.

***

--- i ---
Below is an optimized crystal structure of NbTcIO2, with properties calculated at the PBE-GGA level.

a b c (Å): 3.8864 3.8864 6.2654
angles (deg): 90.00 90.00 90.00
Closest atoms and distances in Å follow each position.
Space group P4/mmm (No. 123)
One atom of each set of equivalent atoms:
Nb 0.0000 0.0000 0.0000  4 I 2.75
Tc 0.5000 0.5000 0.5000  4 O 1.94
I 0.5000 0.5000 0.0000  4 Nb 2.75
O 0.0000 0.5000 0.5000  2 Tc 1.94

Summary:
Crystal system = tetragonal

***

--- ii ---
Below is an optimized crystal structure of NbTcIO2, with properties calculated at the PBE-GGA level.

a b c (Å): 3.9580 3.9580 6.1284
angles (deg): 90.00 90.00 90.00
Closest atoms and distances in Å follow each position.
Space group P4/mmm (No. 123)
One atom of each set of equivalent atoms:
Nb 0.0000 0.0000 0.0000  4 O 1.98
Tc 0.5000 0.5000 0.5000  4 I 2.80
I 0.0000 0.0000 0.5000  4 Tc 2.80, 2 Nb 3.06
O 0.0000 0.5000 0.0000  2 Nb 1.98

Summary:
Crystal system = tetragonal

***

Of them, i has the lowest stability.

***

--- i ---
Below is an optimized crystal structure of TiNbI2O, with properties calculated at the PBE-GGA level.

a b c (Å): 5.6253 5.6253 3.7065
angles (deg): 90.00 90.00 90.00
Closest atoms and distances in Å follow each position.
Space group P4/mmm (No. 123)
One atom of each set of equivalent atoms:
Ti 0.0000 0.0000 0.0000  2 O 1.85
Nb 0.5000 0.5000 0.5000  8 I 3.37, 2 Nb 3.71
I 0.0000 0.5000 0.0000  2 Ti 2.81
O 0.0000 0.0000 0.5000  2 Ti 1.85

Summary:
Crystal system = tetragonal

***

--- ii ---
Below is an optimized crystal structure of TiNbI2O, with properties calculated at the PBE-GGA level.

a b c (Å): 5.7488 5.7488 3.8784
angles (deg): 90.00 90.00 90.00
Closest atoms and distances in Å follow each position.
Space group P4/mmm (No. 123)
One atom of each set of equivalent atoms:
Ti 0.0000 0.0000 0.0000  8 I 3.47, 2 Ti 3.88
Nb 0.5000 0.5000 0.5000  2 O 1.94
I 0.0000 0.5000 0.5000  2 Nb 2.87
O 0.5000 0.5000 0.0000  2 Nb 1.94

Summary:
Crystal system = tetragonal

***

Of them, ii has the lowest stability.

***

--- i ---
Below is an optimized crystal structure of TiNbIO2, with properties calculated at the PBE-GGA level.

a b c (Å): 4.0099 4.0099 5.9980
angles (deg): 90.00 90.00 90.00
Closest atoms and distances in Å follow each position.
Space group P4/mmm (No. 123)
One atom of each set of equivalent atoms:
Ti 0.0000 0.0000 0.0000  4 I 2.84
Nb 0.5000 0.5000 0.5000  4 O 2.00
I 0.5000 0.5000 0.0000  4 Ti 2.84, 2 Nb 3.00
O 0.0000 0.5000 0.5000  2 Nb 2.00

Summary:
Crystal system = tetragonal

***

--- ii ---
Below is an optimized crystal structure of TiNbIO2, with properties calculated at the PBE-GGA level.

a b c (Å): 3.9388 3.9388 5.7805
angles (deg): 90.00 90.00 90.00
Closest atoms and distances in Å follow each position.
Space group P4/mmm (No. 123)
One atom of each set of equivalent atoms:
Ti 0.0000 0.0000 0.0000  4 O 1.97
Nb 0.5000 0.5000 0.5000  4 I 2.79
I 0.0000 0.0000 0.5000  4 Nb 2.79, 2 Ti 2.89
O 0.0000 0.5000 0.0000  2 Ti 1.97

Summary:
Crystal system = tetragonal

***

Of them, ii has the lowest stability.

***

--- i ---
Below is an optimized crystal structure of NbTlIO2, with properties calculated at the PBE-GGA level.

a b c (Å): 4.2726 4.2726 6.1891
angles (deg): 90.00 90.00 90.00
Closest atoms and distances in Å follow each position.
Space group P4/mmm (No. 123)
One atom of each set of equivalent atoms:
Nb 0.0000 0.0000 0.0000  4 I 3.02
Tl 0.5000 0.5000 0.5000  4 O 2.14
I 0.5000 0.5000 0.0000  4 Nb 3.02, 2 Tl 3.09
O 0.0000 0.5000 0.5000  2 Tl 2.14

Summary:
Crystal system = tetragonal

***

--- ii ---
Below is an optimized crystal structure of NbTlIO2, with properties calculated at the PBE-GGA level.

a b c (Å): 4.2269 4.2269 5.8853
angles (deg): 90.00 90.00 90.00
Closest atoms and distances in Å follow each position.
Space group P4/mmm (No. 123)
One atom of each set of equivalent atoms:
Nb 0.0000 0.0000 0.0000  4 O 2.11
Tl 0.5000 0.5000 0.5000  4 I 2.99
I 0.0000 0.0000 0.5000  2 Nb 2.94, 4 Tl 2.99
O 0.0000 0.5000 0.0000  2 Nb 2.11

Summary:
Crystal system = tetragonal

***

Of them, i has the lowest stability.

***

--- i ---
Below is an optimized crystal structure of NbZnIO2, with properties calculated at the PBE-GGA level.

a b c (Å): 4.0589 4.0589 5.2421
angles (deg): 90.00 90.00 90.00
Closest atoms and distances in Å follow each position.
Space group P4/mmm (No. 123)
One atom of each set of equivalent atoms:
Nb 0.0000 0.0000 0.0000  4 I 2.87
Zn 0.5000 0.5000 0.5000  4 O 2.03
I 0.5000 0.5000 0.0000  2 Zn 2.62, 4 Nb 2.87
O 0.0000 0.5000 0.5000  2 Zn 2.03

Summary:
Crystal system = tetragonal

***

--- ii ---
Below is an optimized crystal structure of NbZnIO2, with properties calculated at the PBE-GGA level.

a b c (Å): 4.0096 4.0096 6.1392
angles (deg): 90.00 90.00 90.00
Closest atoms and distances in Å follow each position.
Space group P4/mmm (No. 123)
One atom of each set of equivalent atoms:
Nb 0.0000 0.0000 0.0000  4 O 2.00
Zn 0.5000 0.5000 0.5000  4 I 2.84
I 0.0000 0.0000 0.5000  4 Zn 2.84, 2 Nb 3.07
O 0.0000 0.5000 0.0000  2 Nb 2.00

Summary:
Crystal system = tetragonal

***

Of them, i has the lowest stability.

***

--- i ---
Below is an optimized crystal structure of ZrNbIO2, with properties calculated at the PBE-GGA level.

a b c (Å): 4.1255 4.1255 6.1873
angles (deg): 90.00 90.00 90.00
Closest atoms and distances in Å follow each position.
Space group P4/mmm (No. 123)
One atom of each set of equivalent atoms:
Zr 0.0000 0.0000 0.0000  4 O 2.06
Nb 0.5000 0.5000 0.5000  4 I 2.92
I 0.0000 0.0000 0.5000  4 Nb 2.92, 2 Zr 3.09
O 0.0000 0.5000 0.0000  2 Zr 2.06

Summary:
Crystal system = tetragonal

***

--- ii ---
Below is an optimized crystal structure of ZrNbIO2, with properties calculated at the PBE-GGA level.

a b c (Å): 4.0391 4.0391 5.9481
angles (deg): 90.00 90.00 90.00
Closest atoms and distances in Å follow each position.
Space group P4/mmm (No. 123)
One atom of each set of equivalent atoms:
Zr 0.0000 0.0000 0.0000  4 I 2.86
Nb 0.5000 0.5000 0.5000  4 O 2.02
I 0.5000 0.5000 0.0000  4 Zr 2.86, 2 Nb 2.97
O 0.0000 0.5000 0.5000  2 Nb 2.02

Summary:
Crystal system = tetragonal

***

Of them, ii has the lowest stability.

***

--- i ---
Below is an optimized crystal structure of Nb2OsI2, with properties calculated at the PBE-GGA level.

a b c (Å): 6.8918 6.8918 4.6825
angles (deg): 90.00 90.00 90.00
Closest atoms and distances in Å follow each position.
Space group P4/mbm (No. 127)
One atom of each set of equivalent atoms:
Nb 0.1503 0.3497 0.0000  2 Os 2.62, 1 Nb 2.93, 2 I 2.94
Os 0.0000 0.0000 0.0000  4 Nb 2.62
I 0.1678 0.6678 0.5000  6 Nb 2.94-3.21, 1 I 3.27

Summary:
Crystal system = tetragonal

***

--- ii ---
Below is an optimized crystal structure of Nb2OsI2, with properties calculated at the PBE-GGA level.

a b c (Å): 4.3903 4.3903 12.3333
angles (deg): 90.00 90.00 90.00
Closest atoms and distances in Å follow each position.
Space group I4/mmm (No. 139)
One atom of each set of equivalent atoms:
Nb 0.0000 0.0000 0.0996  1 Nb 2.46
Os 0.0000 0.0000 0.5000  8 Nb 3.34
I 0.0000 0.5000 0.2500  4 Nb 2.87, 4 I 3.10

Summary:
Crystal system = tetragonal

***

Of them, ii has the lowest stability.

***

--- i ---
Below is an optimized crystal structure of Nb3OsI, with properties calculated at the PBE-GGA level.

a b c (Å): 4.9475 4.9475 4.9475
angles (deg): 90.00 90.00 90.00
Closest atoms and distances in Å follow each position.
Space group Pm-3m (No. 221)
One atom of each set of equivalent atoms:
Nb 0.0000 0.0000 0.5000  2 Os 2.47
Os 0.0000 0.0000 0.0000  6 Nb 2.47
I 0.5000 0.5000 0.5000  12 Nb 3.50

Summary:
Crystal system = cubic

***

--- ii ---
Below is an optimized crystal structure of Nb3OsI, with properties calculated at the PBE-GGA level.

a b c (Å): 4.8935 4.8935 4.8935
angles (deg): 90.00 90.00 90.00
Closest atoms and distances in Å follow each position.
Space group Pm-3m (No. 221)
One atom of each set of equivalent atoms:
Nb 0.0000 0.0000 0.5000  2 I 2.45
Os 0.5000 0.5000 0.5000  12 Nb 3.46
I 0.0000 0.0000 0.0000  6 Nb 2.45

Summary:
Crystal system = cubic

***

Of them, ii has the lowest stability.